(1)
! ZnFeHgW | the Open Quantum Materials Database | GGA-PBE | optimized geometry; values from VASP
! Space-group type: F-43m
! ΔH_f (0 K), kJ/mol of formula units: 303
! Total magnetization, μB per formula unit: 1.7
! Polymorph energy (0 for the lowest one), kJ/mol of formula units: 40.5
&SYSTEM
  ibrav = 0, nat = 4, ntyp = 4
/
ATOMIC_SPECIES
Fe 55.84 Fe.upf
Hg 200.59 Hg.upf
W 183.84 W.upf
Zn 65.41 Zn.upf
CELL_PARAMETERS angstrom
1.108 2.640 3.444
-2.593 3.492 1.070
-2.432 -0.085 3.760
ATOMIC_POSITIONS crystal
Fe 0.750 0.750 0.750
Hg 0.500 0.500 0.500
W 0.250 0.250 0.250
Zn 0.000 0.000 0.000

(2)
! MgTaFeBi | the Open Quantum Materials Database | GGA-PBE | optimized geometry; values from VASP
! Space-group type: F-43m
! Total magnetization, μB per formula unit: 0.9
! Polymorph energy (0 for the lowest one), kJ/mol of formula units: 0.0
&SYSTEM
  ibrav = 0, nat = 4, ntyp = 4
/
ATOMIC_SPECIES
Bi 208.98 Bi.upf
Fe 55.84 Fe.upf
Mg 24.30 Mg.upf
Ta 180.95 Ta.upf
CELL_PARAMETERS angstrom
0.549 -1.123 4.546
-3.530 0.704 3.045
-2.317 -3.683 1.815
ATOMIC_POSITIONS crystal
Bi 0.000 0.000 0.000
Fe 0.750 0.750 0.750
Mg 0.250 0.250 0.250
Ta 0.500 0.500 0.500

(3)
! KZrAsO | the Open Quantum Materials Database | GGA-PBE | optimized geometry; values from VASP
! Space-group type: P4/nmm
! Total magnetization, μB per formula unit: 0.0
! Polymorph energy (0 for the lowest one), kJ/mol of formula units: 276.7
&SYSTEM
  ibrav = 0, nat = 8, ntyp = 4
/
ATOMIC_SPECIES
As 74.92 As.upf
K 39.10 K.upf
O 16.00 O.upf
Zr 91.22 Zr.upf
CELL_PARAMETERS angstrom
-0.693 2.619 -4.659
-0.240 -4.708 -2.611
-5.268 -0.127 0.712
ATOMIC_POSITIONS crystal
As 0.750 0.750 0.496
As 0.250 0.250 0.504
K 0.250 0.250 0.003
K 0.750 0.750 0.997
O 0.750 0.250 0.000
O 0.250 0.750 0.000
Zr 0.750 0.250 0.500
Zr 0.250 0.750 0.500

(4)
! Hf2ReOs | the Open Quantum Materials Database | GGA-PBE | optimized geometry; values from VASP
! Space-group type: Pnma
! ΔH_f (0 K), kJ/mol of formula units: -147
! Total magnetization, μB per formula unit: 0.0
! Polymorph energy (0 for the lowest one), kJ/mol of formula units: 51.8
&SYSTEM
  ibrav = 0, nat = 16, ntyp = 3
/
ATOMIC_SPECIES
Hf 178.49 Hf.upf
Os 190.23 Os.upf
Re 186.21 Re.upf
CELL_PARAMETERS angstrom
-4.666 4.604 0.908
-0.939 -2.499 7.850
3.635 3.385 1.513
ATOMIC_POSITIONS crystal
Hf 0.092 0.059 0.250
Hf 0.092 0.441 0.250
Hf 0.592 0.559 0.250
Hf 0.592 0.941 0.250
Hf 0.408 0.059 0.750
Hf 0.408 0.441 0.750
Hf 0.908 0.559 0.750
Hf 0.908 0.941 0.750
Os 0.405 0.250 0.249
Os 0.905 0.750 0.251
Os 0.095 0.250 0.749
Os 0.595 0.750 0.751
Re 0.250 0.750 0.002
Re 0.750 0.250 0.498
Re 0.250 0.750 0.502
Re 0.750 0.250 0.998

(5)
! Lu2SiNi | the Open Quantum Materials Database | GGA-PBE | optimized geometry; values from VASP
! Space-group type: F-43m
! Uncorrected energy, eV/atom: -5.01
! Total magnetization, μB per formula unit: 0.0
&SYSTEM
  ibrav = 0, nat = 4, ntyp = 3
/
ATOMIC_SPECIES
Lu 174.97 Lu.upf
Ni 58.69 Ni.upf
Si 28.09 Si.upf
CELL_PARAMETERS angstrom
0.000 3.329 3.329
3.329 0.000 3.329
3.329 3.329 0.000
ATOMIC_POSITIONS crystal
Lu 0.000 0.000 0.000
Lu 0.750 0.750 0.750
Ni 0.250 0.250 0.250
Si 0.500 0.500 0.500

(6)
! GdZn | the Open Quantum Materials Database | GGA-PBE | optimized geometry; values from VASP
! Space-group type: Pmc2_1
! ΔH_f (0 K), kJ/mol of formula units: -39
! Total magnetization, μB per formula unit: 0.0
! Polymorph energy (0 for the lowest one), kJ/mol of formula units: 26.4
&SYSTEM
  ibrav = 0, nat = 12, ntyp = 2
/
ATOMIC_SPECIES
Gd 157.25 Gd.upf
Zn 65.41 Zn.upf
CELL_PARAMETERS angstrom
5.883 0.000 0.000
0.000 10.984 0.000
0.000 0.000 4.444
ATOMIC_POSITIONS crystal
Gd 0.513 0.244 0.000
Gd 0.013 0.923 0.000
Gd 0.999 0.174 0.500
Gd 0.765 0.480 0.500
Gd 0.265 0.686 0.500
Gd 0.499 0.992 0.500
Zn 0.031 0.377 0.000
Zn 0.406 0.521 0.000
Zn 0.906 0.646 0.000
Zn 0.531 0.790 0.000
Zn 0.287 0.398 0.500
Zn 0.787 0.769 0.500

(7)
! ZrPPbO | the Open Quantum Materials Database | GGA-PBE | optimized geometry; values from VASP
! Space-group type: P4/nmm
! Total magnetization, μB per formula unit: 0.0
! Polymorph energy (0 for the lowest one), kJ/mol of formula units: 95.9
&SYSTEM
  ibrav = 0, nat = 8, ntyp = 4
/
ATOMIC_SPECIES
O 16.00 O.upf
P 30.97 P.upf
Pb 207.20 Pb.upf
Zr 91.22 Zr.upf
CELL_PARAMETERS angstrom
-1.519 -1.784 3.430
3.344 -2.456 0.204
4.160 6.080 5.005
ATOMIC_POSITIONS crystal
O 0.000 0.000 0.000
O 0.500 0.500 0.000
P 0.500 0.000 0.232
P 0.000 0.500 0.768
Pb 0.000 0.000 0.500
Pb 0.500 0.500 0.500
Zr 0.000 0.500 0.087
Zr 0.500 0.000 0.913

(8)
! LiErGe | the Open Quantum Materials Database | GGA-PBE | optimized geometry; values from VASP
! Space-group type: P6_3/mmc
! Total magnetization, μB per formula unit: 0.0
! Polymorph energy (0 for the lowest one), kJ/mol of formula units: 18.8
&SYSTEM
  ibrav = 0, nat = 6, ntyp = 3
/
ATOMIC_SPECIES
Er 167.26 Er.upf
Ge 72.64 Ge.upf
Li 6.94 Li.upf
CELL_PARAMETERS angstrom
-1.064 4.131 -2.422
-1.966 -4.260 -1.434
-4.580 0.912 3.568
ATOMIC_POSITIONS crystal
Er 0.667 0.333 0.250
Er 0.333 0.667 0.750
Ge 0.333 0.667 0.250
Ge 0.667 0.333 0.750
Li 0.000 0.000 0.000
Li 0.000 0.000 0.500